No. 1
A plane-wave DFT calculation with PBE was carried out for an optimized crystal structure of YSc4S5.

Geometry as POSCAR:
```
YSc4S5
1.0
-1.243 2.387 2.590
-4.427 -2.861 0.511
6.921 -4.890 5.136
Y Sc S
1 4 5
Direct
0.000 0.000 0.000
0.399 0.399 0.799
0.797 0.797 0.594
0.203 0.203 0.406
0.601 0.601 0.201
0.607 0.107 0.213
0.801 0.301 0.602
0.199 0.699 0.398
0.000 0.500 0.000
0.393 0.893 0.787
```

Results
Formation energy without anion corrections: -1.878 eV per atom
Symmetry: Immm
Total magnetic moment: 0.00 μB per atom
VASP energy: -7.12 eV per atom

=====

No. 2
A plane-wave DFT calculation with PBE was carried out for an optimized crystal structure of YSc6S8.

Geometry as POSCAR:
```
YSc6S8
1.0
-5.438 4.701 -1.767
-6.161 -2.517 -3.239
-6.372 -0.129 3.764
Y Sc S
1 6 8
Direct
0.000 0.000 0.000
0.000 0.500 0.500
0.500 0.000 0.000
0.500 0.500 0.000
0.000 0.000 0.500
0.000 0.500 0.000
0.500 0.000 0.500
0.750 0.750 0.750
0.250 0.250 0.250
0.741 0.259 0.259
0.259 0.741 0.741
0.259 0.259 0.741
0.741 0.741 0.259
0.741 0.259 0.741
0.259 0.741 0.259
```

Results
Formation energy without anion corrections: -1.927 eV per atom
Symmetry: Fm-3m
Total magnetic moment: 0.00 μB per atom
VASP energy: -7.09 eV per atom
Excess energy over the best structure of this formula in the dataset: 0.000 eV per atom

=====

No. 3
A plane-wave DFT calculation with PBE was carried out for an optimized crystal structure of Y2Sc4S9.

Geometry as POSCAR:
```
Y2Sc4S9
1.0
-0.389 -0.787 6.563
-0.880 -6.041 2.563
17.784 -2.259 0.782
Y Sc S
4 8 18
Direct
0.000 0.000 0.351
0.000 0.000 0.148
0.000 0.000 0.649
0.000 0.000 0.852
0.333 0.333 0.989
0.333 0.333 0.489
0.667 0.667 0.011
0.333 0.333 0.181
0.667 0.667 0.511
0.666 0.667 0.319
0.334 0.333 0.681
0.667 0.667 0.819
0.000 0.318 0.750
0.318 0.682 0.750
0.682 0.000 0.750
0.000 0.682 0.250
0.682 0.318 0.250
0.318 0.000 0.250
0.646 0.976 0.417
0.976 0.378 0.417
0.378 0.646 0.417
0.622 0.024 0.083
0.354 0.622 0.083
0.024 0.354 0.083
0.354 0.024 0.583
0.024 0.622 0.583
0.622 0.354 0.583
0.378 0.976 0.917
0.646 0.378 0.917
0.976 0.646 0.917
```

Results
Formation energy without anion corrections: -1.928 eV per atom
Symmetry: P-3c1
Total magnetic moment: 0.00 μB per atom
VASP energy: -6.95 eV per atom

=====

No. 4
A plane-wave DFT calculation with PBE was carried out for an optimized crystal structure of YSc2S3.

Geometry as POSCAR:
```
YSc2S3
1.0
3.480 0.000 -1.452
-1.036 4.621 -2.482
0.658 0.532 6.474
Y Sc S
1 2 3
Direct
0.500 0.000 0.000
0.159 0.659 0.318
0.841 0.341 0.682
0.500 0.500 0.000
0.177 0.177 0.355
0.823 0.823 0.645
```

Results
Formation energy without anion corrections: -1.893 eV per atom
Symmetry: Immm
Total magnetic moment: 0.00 μB per atom
VASP energy: -7.14 eV per atom